Compound: CoSb3As
Source: the Alexandria database
Functional: PBE
Structure: optimized geometry

It has space group Pm-3m (No. 221), with a = 5.329 Å, b = 5.329 Å, c = 5.329 Å, α = 90.00°, β = 90.00° and γ = 90.00°. Symmetry generates all atoms from Co at (0.000, 0.000, 0.000), Sb at (0.000, 0.500, 0.500) and As at (0.500, 0.500, 0.500).

For the density of states at the Fermi level, the calculation gives 6.27 states/eV/f.u. Its formation energy (no corrections) is 117 kJ per mole of atoms. The energy relative to the lowest polymorph listed for this composition is 0.8151 eV per atom.


Compound: La12CdHg6
Source: the Alexandria database
Functional: PBE
Structure: optimized geometry

It has space group R-3 (No. 148, hexagonal axes), with a = 15.2814 Å, b = 15.2814 Å, c = 8.6077 Å, α = 90.00°, β = 90.00° and γ = 120.00°. Symmetry generates all atoms from La at (0.0031, 0.8582, 0.1682), La at (0.0634, 0.4909, 0.1798), Cd at (0.0000, 0.0000, 0.5000) and Hg at (0.0221, 0.7548, 0.8265).

For the density of states at the Fermi level, the calculation gives 24.18 states/eV/f.u. The calculation puts the formation energy at -0.26 eV/atom.